No. 1
Here is a relaxed structure of CsRb2SrHg from the Alexandria database. Energies are from PBE.

a = 7.2639 Å, b = 7.2639 Å, c = 6.6112 Å
α = 90.00°, β = 90.00°, γ = 90.00°
Space group P4/mmm (No. 123)
Asymmetric unit:
Cs (0.0000, 0.0000, 0.0000) (multiplicity 1)
Rb (0.0000, 0.5000, 0.5000) (multiplicity 2)
Sr (0.5000, 0.5000, 0.0000) (multiplicity 1)
Hg (0.5000, 0.5000, 0.5000) (multiplicity 1)

Values from the calculation:
Formation energy from the elements ... -5.6 kJ/mol of atoms
Theoretical density ... 2.82 g/cm3

No. 2
Here is a relaxed structure of Ca2Zn2Co from the Alexandria database. Energies are from PBE.

a = 3.5331 Å, b = 3.5331 Å, c = 17.9494 Å
α = 90.00°, β = 90.00°, γ = 90.00°
Space group I4/mmm (No. 139)
Asymmetric unit:
Ca (0.0000, 0.0000, 0.0914) (multiplicity 4)
Zn (0.0000, 0.5000, 0.2500) (multiplicity 4)
Co (0.0000, 0.0000, 0.5000) (multiplicity 2)

Values from the calculation:
Offset from the most stable computed form ... 0.135 eV per atom
Formation energy from the elements ... 18.6 kJ/mol of atoms
Theoretical density ... 4.00 g/cm3

No. 3
Here is a relaxed structure of Rb2SnF6 from the Alexandria database. Energies are from PBE.

a = 6.1682 Å, b = 6.1682 Å, c = 4.9325 Å
α = 90.00°, β = 90.00°, γ = 120.00°
Space group P-3m1 (No. 164)
Asymmetric unit:
Rb (0.3333, 0.6667, 0.3033) (multiplicity 2)
Sn (0.0000, 0.0000, 0.0000) (multiplicity 1)
F (0.1570, 0.3140, 0.7759) (multiplicity 6)

Values from the calculation:
E_form (uncorrected) ... -2.75 eV per atom
Theoretical density ... 4.12 g/cm3

No. 4
Here is a relaxed structure of TbPu2Hg3 from the Alexandria database. Energies are from PBE.

a = 3.7134 Å, b = 3.7134 Å, c = 11.4992 Å
α = 90.00°, β = 90.00°, γ = 90.00°
Space group P4/mmm (No. 123)
Asymmetric unit:
Tb (0.0000, 0.0000, 0.0000) (multiplicity 1)
Pu (0.0000, 0.0000, 0.3306) (multiplicity 2)
Hg (0.5000, 0.5000, 0.1585) (multiplicity 2)
Hg (0.5000, 0.5000, 0.5000) (multiplicity 1)

Values from the calculation:
Offset from the most stable computed form ... 0.002 eV per atom
Formation energy from the elements ... -21.2 kJ/mol of atoms
Theoretical density ... 13.08 g/cm3

No. 5
Here is a relaxed structure of Ac3Sm2Ho2 from the Alexandria database. Energies are from PBE.

a = 5.6230 Å, b = 25.0945 Å, c = 3.7299 Å
α = 90.00°, β = 90.00°, γ = 90.00°
Space group Cmmm (No. 65)
Asymmetric unit:
Ac (0.0000, 0.0000, 0.0000) (multiplicity 2)
Ac (0.0000, 0.1538, 0.0000) (multiplicity 4)
Sm (0.0000, 0.4268, 0.5000) (multiplicity 4)
Ho (0.0000, 0.2852, 0.5000) (multiplicity 4)

Values from the calculation:
Formation energy from the elements ... 6.2 kJ/mol of atoms
Theoretical density ... 8.28 g/cm3

No. 6
Here is a relaxed structure of Sb2MoPd from the Alexandria database. Energies are from PBE.

a = 3.1589 Å, b = 3.1589 Å, c = 29.0536 Å
α = 90.00°, β = 90.00°, γ = 120.00°
Space group R-3m (No. 166, hexagonal axes)
Asymmetric unit:
Sb (0.0000, 0.0000, 0.0929) (multiplicity 6)
Mo (0.0000, 0.0000, 0.0000) (multiplicity 3)
Pd (0.0000, 0.0000, 0.5000) (multiplicity 3)

Values from the calculation:
E_form (uncorrected) ... 0.48 eV per atom
Theoretical density ... 8.85 g/cm3

- What is the formula in the sixth record?
  Sb2MoPd